[1]
VASP calculation (SCAN) on SrAgHRu2 at its PBEsol-relaxed geometry.

Lattice parameters (Å, degrees): 3.967 3.967 4.712 90.00 90.00 90.00
Fractional coordinates of all 5 atoms:
1 Ru 0.000 0.500 0.000
2 Ru 0.500 0.000 0.000
3 H 0.000 0.000 0.000
4 Ag 0.500 0.500 0.500
5 Sr 0.000 0.000 0.500

Computed properties:
- Total DFT energy (no corrections): -124.47 eV/cell
- N(E_F): 1.80 states/eV/f.u.
- Space group: P4/mmm

---

[2]
VASP calculation (SCAN) on CaMgSe2 at its PBEsol-relaxed geometry.

Lattice parameters (Å, degrees): 3.942 3.942 7.178 74.06 74.06 60.00
Fractional coordinates of all 4 atoms:
1 Ca 0.501 0.501 0.497
2 Mg 0.332 0.332 0.004
3 Se 0.925 0.925 0.226
4 Se 0.742 0.742 0.773

Computed properties:
- Raw formation energy: -1.757 eV/atom
- N(E_F): 0.00 states/eV/f.u.
- Space group: R3m

---

[3]
VASP calculation (SCAN) on KZn4Ru at its PBEsol-relaxed geometry.

Lattice parameters (Å, degrees): 5.146 5.146 5.146 60.00 60.00 60.00
Fractional coordinates of all 6 atoms:
1 K 0.750 0.750 0.750
2 Ru 0.000 0.000 0.000
3 Zn 0.373 0.373 0.373
4 Zn 0.373 0.373 0.880
5 Zn 0.880 0.373 0.373
6 Zn 0.373 0.880 0.373

Computed properties:
- E_form: 0.3822 eV per atom
- N(E_F): 4.04 states/eV/f.u.
- Space group: F-43m

---

[4]
VASP calculation (SCAN) on AlCoCu2H at its PBEsol-relaxed geometry.

Lattice parameters (Å, degrees): 2.961 4.565 4.565 90.00 90.00 90.00
Fractional coordinates of all 5 atoms:
1 H 0.500 0.000 0.000
2 Co 0.500 0.500 0.500
3 Al 0.000 0.000 0.000
4 Cu 0.000 0.000 0.500
5 Cu 0.000 0.500 0.000

Computed properties:
- Total DFT energy (no corrections): -55.08 eV/cell
- N(E_F): 1.89 states/eV/f.u.
- Space group: P4/mmm

---

[5]
VASP calculation (SCAN) on Ca2Te at its PBEsol-relaxed geometry.

Lattice parameters (Å, degrees): 3.872 3.872 14.097 97.89 97.89 90.00
Fractional coordinates of all 6 atoms:
1 Ca 0.815 0.315 0.629
2 Ca 0.435 0.435 0.871
3 Ca 0.685 0.185 0.371
4 Ca 0.565 0.565 0.129
5 Te 0.250 0.750 0.500
6 Te 0.000 0.000 0.000

Computed properties:
- Raw formation energy: -0.935 eV/atom
- N(E_F): 1.08 states/eV/f.u.
- Space group: I4_1/amd

---

[6]
VASP calculation (SCAN) on KCuH3 at its PBEsol-relaxed geometry.

Lattice parameters (Å, degrees): 3.654 3.654 3.654 90.00 90.00 90.00
Fractional coordinates of all 5 atoms:
1 H 0.000 0.500 0.000
2 H 0.000 0.000 0.500
3 H 0.500 0.000 0.000
4 K 0.500 0.500 0.500
5 Cu 0.000 0.000 0.000

Computed properties:
- N(E_F): 0.85 states/eV/f.u.
- Energy relative to the lowest polymorph listed for this composition: 0.061 eV per atom
- Space group: Pm-3m